*A*
# GaMoP2S

A relaxed GaMoP2S crystal (GGA-PBE, Alexandria).

Output
space-group type: P4/mmm
magnetic moment: 2.6 μB per formula unit
calculated volume: 19.7 Å³/atom

The structure in POSCAR format:
```
GaMoP2S
1.0
4.573 0.000 0.000
0.000 4.573 0.000
0.000 0.000 4.713
P Mo S Ga
2 1 1 1
Cartesian
0.000 2.286 0.000
2.286 0.000 0.000
2.286 2.286 2.356
0.000 0.000 2.356
0.000 0.000 0.000
```

---

*B*
# GaMoP2S

A relaxed GaMoP2S crystal (GGA-PBE, Alexandria).

Output
space-group type: P4/mmm
magnetic moment: 0.0 μB per formula unit
calculated volume: 21.3 Å³/atom

The structure in POSCAR format:
```
GaMoP2S
1.0
-1.665 4.344 -0.813
-4.356 -1.759 -0.479
-0.752 0.588 4.677
P S Ga Mo
2 1 1 1
Cartesian
-0.832 2.172 -0.407
-2.178 -0.880 -0.240
-0.376 0.294 2.339
-3.386 1.586 1.692
0.000 0.000 0.000
```

---

Which of them is most stable? Easy: *B*.

---

*A*
# PaGaMo2

A relaxed PaGaMo2 crystal (GGA-PBE, Alexandria).

Output
space-group type: P4/mmm
magnetic moment: 0.0 μB per formula unit
calculated volume: 17.9 Å³/atom

The structure in POSCAR format:
```
PaGaMo2
1.0
3.537 0.000 0.000
0.000 4.494 0.000
0.000 0.000 4.494
Pa Mo Ga
1 2 1
Cartesian
1.769 0.000 0.000
0.000 0.000 2.247
0.000 2.247 0.000
1.769 2.247 2.247
```

---

*B*
# PaGaMo2

A relaxed PaGaMo2 crystal (GGA-PBE, Alexandria).

Output
space-group type: Fm-3m
magnetic moment: 0.0 μB per formula unit
calculated volume: 17.7 Å³/atom

The structure in POSCAR format:
```
PaGaMo2
1.0
-0.919 2.628 -3.715
2.691 -0.290 -3.772
-1.641 -1.955 -3.877
Mo Pa Ga
2 1 1
Cartesian
0.033 0.096 -2.841
0.098 0.287 -8.523
0.000 0.000 0.000
0.065 0.191 -5.682
```

---

Which of them is most stable? Easy: *A*.

---

*A*
# PaGa2Mo

A relaxed PaGa2Mo crystal (GGA-PBE, Alexandria).

Output
space-group type: P2_1/m
magnetic moment: 0.0 μB per formula unit
calculated volume: 19.0 Å³/atom

The structure in POSCAR format:
```
PaGa2Mo
1.0
-1.979 -1.340 -4.002
-3.451 -0.918 3.749
-2.471 6.033 -0.797
Mo Ga Pa
2 4 2
Cartesian
-3.417 4.024 0.462
-4.485 -0.250 -1.513
-3.480 -0.929 0.996
-3.438 2.303 -1.729
-4.463 1.471 0.679
-4.422 4.703 -2.046
-1.147 1.343 0.191
-6.755 2.431 -1.241
```

---

*B*
# PaGa2Mo

A relaxed PaGa2Mo crystal (GGA-PBE, Alexandria).

Output
space-group type: Fm-3m
magnetic moment: 0.0 μB per formula unit
calculated volume: 18.6 Å³/atom

The structure in POSCAR format:
```
PaGa2Mo
1.0
4.723 0.000 0.000
2.361 4.090 0.000
2.361 1.363 3.857
Ga Mo Pa
2 1 1
Cartesian
2.361 1.363 0.965
7.084 4.090 2.892
4.723 2.727 1.928
0.000 0.000 0.000
```

---

*C*
# PaGa2Mo

A relaxed PaGa2Mo crystal (GGA-PBE, Alexandria).

Output
space-group type: P4/mmm
magnetic moment: 0.0 μB per formula unit
calculated volume: 18.5 Å³/atom

The structure in POSCAR format:
```
PaGa2Mo
1.0
3.463 0.000 0.000
0.000 3.463 0.000
0.000 0.000 6.161
Mo Ga Pa
1 2 1
Cartesian
1.732 1.732 0.000
0.000 0.000 1.254
0.000 0.000 4.908
1.732 1.732 3.081
```

---

Which of them is most stable? Easy: *A*.

---

*A*
# PaGaMo

A relaxed PaGaMo crystal (GGA-PBE, Alexandria).

Output
space-group type: I4mm
magnetic moment: 0.0 μB per formula unit
calculated volume: 19.6 Å³/atom

The structure in POSCAR format:
```
PaGaMo
1.0
3.290 0.000 0.000
0.000 3.290 0.000
-1.645 -1.645 5.427
Pa Mo Ga
1 1 1
Cartesian
1.645 1.645 1.954
0.000 0.000 3.789
1.645 1.645 5.112
```

---

*B*
# PaGaMo

A relaxed PaGaMo crystal (GGA-PBE, Alexandria).

Output
space-group type: Immm
magnetic moment: 0.0 μB per formula unit
calculated volume: 20.0 Å³/atom

The structure in POSCAR format:
```
PaGaMo
1.0
4.326 0.000 0.000
2.163 5.679 2.011
2.163 2.114 5.641
Pa Ga Mo
2 2 2
Cartesian
2.163 2.393 2.350
6.489 5.399 5.302
4.326 4.792 2.913
4.326 3.000 4.739
4.326 6.831 6.708
4.326 0.961 0.943
```

---

Which of them is most stable? Easy: *B*.

---

*A*
# PaGaMo

A relaxed PaGaMo crystal (GGA-PBE, Alexandria).

Output
space-group type: Imma
magnetic moment: 0.0 μB per formula unit
calculated volume: 19.2 Å³/atom

The structure in POSCAR format:
```
PaGaMo
1.0
5.575 0.000 0.000
2.788 4.644 0.023
2.788 1.340 4.446
Pa Mo Ga
2 2 2
Cartesian
6.969 2.359 1.762
4.182 3.625 2.707
4.182 2.322 0.012
4.182 0.670 2.223
0.000 0.000 0.000
2.788 0.000 0.000
```

---

*B*
# PaGaMo

A relaxed PaGaMo crystal (GGA-PBE, Alexandria).

Output
space-group type: P-6m2
magnetic moment: 0.0 μB per formula unit
calculated volume: 19.4 Å³/atom

The structure in POSCAR format:
```
PaGaMo
1.0
-0.930 -2.670 0.641
2.305 -1.730 -3.862
2.259 0.233 4.250
Mo Ga Pa
1 1 1
Cartesian
1.825 -2.409 -0.838
1.809 -1.757 1.867
-0.930 -2.670 0.641
```

---

Which of them is most stable? Easy: *A*.

---

*A*
# Pa2GaMo

A relaxed Pa2GaMo crystal (GGA-PBE, Alexandria).

Output
space-group type: P4/mmm
magnetic moment: 0.0 μB per formula unit
calculated volume: 20.7 Å³/atom

The structure in POSCAR format:
```
Pa2GaMo
1.0
4.203 0.000 0.000
0.000 4.435 0.000
0.000 0.000 4.435
Mo Pa Ga
1 2 1
Cartesian
2.102 2.217 2.217
0.000 0.000 2.217
0.000 2.217 0.000
2.102 0.000 0.000
```

---

*B*
# Pa2GaMo

A relaxed Pa2GaMo crystal (GGA-PBE, Alexandria).

Output
space-group type: Fm-3m
magnetic moment: 0.0 μB per formula unit
calculated volume: 21.6 Å³/atom

The structure in POSCAR format:
```
Pa2GaMo
1.0
4.965 0.000 0.000
2.483 4.300 0.000
2.483 1.433 4.054
Ga Pa Mo
1 2 1
Cartesian
4.965 2.867 2.027
2.483 1.433 1.013
7.448 4.300 3.040
0.000 0.000 0.000
```

---

Which of them is most stable? Easy: *A*.